<A>
First-principles (PBE) data for crystalline Tb6Er3In at its relaxed geometry, as listed in Alexandria.

The structure in CIF format:
```
data_Tb6Er3In
_chemical_formula_sum 'Tb12 Er6 In2'
_symmetry_space_group_name_H-M 'P 1 21/m 1'
_symmetry_Int_Tables_number 11
_symmetry_space_group_name_Hall '-P 2yb'
_cell_length_a 9.602
_cell_length_b 5.553
_cell_length_c 12.401
_cell_angle_alpha 90.00
_cell_angle_beta 110.87
_cell_angle_gamma 90.00
loop_
_atom_site_label
_atom_site_fract_x
_atom_site_fract_y
_atom_site_fract_z
Tb1 0.040 0.250 0.431
Tb2 0.187 0.750 0.167
Tb3 0.256 0.250 0.009
Tb4 0.346 0.750 0.798
Tb5 0.347 0.250 0.326
Tb6 0.426 0.250 0.638
Er1 0.026 0.750 0.867
Er2 0.100 0.250 0.720
Er3 0.272 0.750 0.472
In1 0.466 0.750 0.083
```



<B>
First-principles (PBE) data for crystalline Tb6Er3In at its relaxed geometry, as listed in Alexandria.

The structure in CIF format:
```
data_Tb6Er3In
_chemical_formula_sum 'Tb24 Er12 In4'
_symmetry_space_group_name_H-M 'C m c 21'
_symmetry_Int_Tables_number 36
_symmetry_space_group_name_Hall 'C 2c -2'
_cell_length_a 9.627
_cell_length_b 20.270
_cell_length_c 6.289
_cell_angle_alpha 90.00
_cell_angle_beta 90.00
_cell_angle_gamma 90.00
loop_
_atom_site_label
_atom_site_fract_x
_atom_site_fract_y
_atom_site_fract_z
Tb1 0.000 0.016 0.000
Tb2 0.000 0.288 0.025
Tb3 0.181 0.282 0.472
Tb4 0.183 0.443 0.253
Er1 0.000 0.414 0.727
Er2 0.169 0.127 0.321
In1 0.000 0.152 0.762
```



<A> wins, 7.4 kJ/mol of atoms ahead of the next structure.



<A>
First-principles (PBE) data for crystalline Tb3Er2In2 at its relaxed geometry, as listed in Alexandria.

The structure in CIF format:
```
data_Tb3Er2In2
_chemical_formula_sum 'Tb6 Er4 In4'
_symmetry_space_group_name_H-M 'C m m m'
_symmetry_Int_Tables_number 65
_symmetry_space_group_name_Hall '-C 2 2'
_cell_length_a 4.947
_cell_length_b 23.444
_cell_length_c 3.451
_cell_angle_alpha 90.00
_cell_angle_beta 90.00
_cell_angle_gamma 90.00
loop_
_atom_site_label
_atom_site_fract_x
_atom_site_fract_y
_atom_site_fract_z
Tb1 0.000 0.000 0.000
Tb2 0.000 0.144 0.000
Er1 0.000 0.286 0.500
In1 0.000 0.429 0.500
```



<B>
First-principles (PBE) data for crystalline Tb3Er2In2 at its relaxed geometry, as listed in Alexandria.

The structure in CIF format:
```
data_Tb3Er2In2
_chemical_formula_sum 'Tb6 Er4 In4'
_symmetry_space_group_name_H-M 'C 1 2/m 1'
_symmetry_Int_Tables_number 12
_symmetry_space_group_name_Hall '-C 2y'
_cell_length_a 16.692
_cell_length_b 3.464
_cell_length_c 7.916
_cell_angle_alpha 90.00
_cell_angle_beta 117.86
_cell_angle_gamma 90.00
loop_
_atom_site_label
_atom_site_fract_x
_atom_site_fract_y
_atom_site_fract_z
Tb1 0.000 0.000 0.000
Tb2 0.211 0.000 0.126
Er1 0.136 0.000 0.470
In1 0.066 0.500 0.732
```



<A> wins, 4.4 kJ/mol of atoms ahead of the next structure.